Arrangement 1

First-principles (GGA-PBE) data for a relaxed YP3O9 crystal, as listed in Alexandria.

Geometry as POSCAR:
```
YP3O9
1.0
20.4006 0.0000 0.0000
0.0000 10.2535 -0.0040
0.0000 1.5522 11.4103
Y P O
12 36 108
Direct
0.1755 0.4759 0.4979
0.6755 0.0241 0.5021
0.8245 0.5241 0.5021
0.3245 0.9759 0.4979
0.6561 0.0160 0.0000
0.1561 0.4840 0.0000
0.3439 0.9840 0.0000
0.8439 0.5160 0.0000
0.0000 0.0000 0.5000
0.5000 0.5000 0.5000
0.0000 0.0000 0.0000
0.5000 0.5000 0.0000
0.5524 0.0271 0.7330
0.0524 0.4729 0.2670
0.4476 0.9729 0.2670
0.9476 0.5271 0.7330
0.5426 0.1817 0.1757
0.0426 0.3183 0.8243
0.4574 0.8183 0.8243
0.9574 0.6817 0.1757
0.3762 0.6779 0.6532
0.8762 0.8221 0.3468
0.6238 0.3221 0.3468
0.1238 0.1779 0.6532
0.2737 0.4928 0.7602
0.7737 0.0072 0.2398
0.7263 0.5072 0.2398
0.2263 0.9928 0.7602
0.1169 0.8085 0.8511
0.6169 0.6915 0.1489
0.8831 0.1915 0.1489
0.3831 0.3085 0.8511
0.0626 0.6895 0.6403
0.5626 0.8105 0.3597
0.9374 0.3105 0.3597
0.4374 0.1895 0.6403
0.2098 0.8039 0.3265
0.7098 0.6961 0.6735
0.7902 0.1961 0.6735
0.2902 0.3039 0.3265
0.7795 0.8228 0.8639
0.2795 0.6772 0.1361
0.2205 0.1772 0.1361
0.7205 0.3228 0.8639
0.8890 0.9816 0.7526
0.3890 0.5184 0.2474
0.1110 0.0184 0.2474
0.6110 0.4816 0.7526
0.5886 0.0419 0.6192
0.0886 0.4581 0.3808
0.4114 0.9581 0.3808
0.9114 0.5419 0.6192
0.5903 0.0352 0.8432
0.0903 0.4648 0.1568
0.4097 0.9648 0.1568
0.9097 0.5352 0.8432
0.5167 0.3056 0.1084
0.0167 0.1944 0.8916
0.4833 0.6944 0.8916
0.9833 0.8056 0.1084
0.5751 0.0834 0.1098
0.0751 0.4166 0.8902
0.4249 0.9166 0.8902
0.9249 0.5834 0.1098
0.4255 0.5804 0.6207
0.9255 0.9196 0.3793
0.5745 0.4196 0.3793
0.0745 0.0804 0.6207
0.3378 0.7567 0.5574
0.8378 0.7433 0.4426
0.6622 0.2433 0.4426
0.1622 0.2567 0.5574
0.2556 0.4667 0.6389
0.7556 0.0333 0.3611
0.7444 0.5333 0.3611
0.2444 0.9667 0.6389
0.2194 0.5246 0.8390
0.7194 0.9754 0.1610
0.7806 0.4754 0.1610
0.2806 0.0246 0.8390
0.0682 0.9114 0.8748
0.5682 0.5886 0.1252
0.9318 0.0886 0.1252
0.4318 0.4114 0.8748
0.1215 0.6902 0.9423
0.6215 0.8098 0.0577
0.8785 0.3098 0.0577
0.3785 0.1902 0.9423
0.1019 0.5764 0.6073
0.6019 0.9236 0.3927
0.8981 0.4236 0.3927
0.3981 0.0764 0.6073
0.0370 0.7899 0.5440
0.5370 0.7101 0.4560
0.9630 0.2101 0.4560
0.4630 0.2899 0.5440
0.4851 0.1120 0.2573
0.9851 0.3880 0.7427
0.5149 0.8880 0.7427
0.0149 0.6120 0.2573
0.5922 0.2142 0.2755
0.0922 0.2858 0.7245
0.4078 0.7858 0.7245
0.9078 0.7142 0.2755
0.3274 0.6082 0.7534
0.8274 0.8918 0.2466
0.6726 0.3918 0.2466
0.1726 0.1082 0.7534
0.1891 0.8693 0.8326
0.6891 0.6307 0.1674
0.8109 0.1307 0.1674
0.3109 0.3693 0.8326
0.1063 0.7676 0.7233
0.6063 0.7324 0.2767
0.8937 0.2324 0.2767
0.3937 0.2676 0.7233
0.4954 0.1361 0.7292
0.9954 0.3639 0.2708
0.5046 0.8639 0.2708
0.0046 0.6361 0.7292
0.1950 0.6801 0.4067
0.6950 0.8199 0.5933
0.8050 0.3199 0.5933
0.3050 0.1801 0.4067
0.2564 0.9008 0.3677
0.7564 0.5992 0.6323
0.7436 0.0992 0.6323
0.2436 0.4008 0.3677
0.7406 0.9334 0.9025
0.2406 0.5666 0.0975
0.2594 0.0666 0.0975
0.7594 0.4334 0.9025
0.8153 0.7314 0.9554
0.3153 0.7686 0.0446
0.1847 0.2686 0.0446
0.6847 0.2314 0.9554
0.9324 0.9524 0.6546
0.4324 0.5476 0.3454
0.0676 0.0476 0.3454
0.5676 0.4524 0.6546
0.9168 0.9792 0.8733
0.4168 0.5208 0.1267
0.0832 0.0208 0.1267
0.5832 0.4792 0.8733
0.2324 0.7684 0.2012
0.7324 0.7316 0.7988
0.7676 0.2316 0.7988
0.2676 0.2684 0.2012
0.8282 0.8800 0.7583
0.3282 0.6200 0.2417
0.1718 0.1200 0.2417
0.6718 0.3800 0.7583
0.1420 0.8749 0.2876
0.6420 0.6251 0.7124
0.8580 0.1251 0.7124
0.3580 0.3749 0.2876
```

Output
SG: P2_1/c (14)
Crystal system: monoclinic

Arrangement 2

First-principles (GGA-PBE) data for a relaxed YP3O9 crystal, as listed in Alexandria.

Geometry as POSCAR:
```
YP3O9
1.0
6.9815 0.0020 0.0000
-1.8110 6.7426 0.0000
0.0000 0.0000 7.2461
Y P O
2 6 18
Direct
0.6271 0.6271 0.0000
0.3729 0.3729 0.5000
0.1661 0.8096 0.0428
0.8339 0.1904 0.5428
0.8096 0.1661 0.9572
0.1904 0.8339 0.4572
0.2502 0.2502 0.0000
0.7498 0.7498 0.5000
0.2486 0.0273 0.9526
0.7514 0.9727 0.4526
0.0273 0.2486 0.0474
0.9727 0.7514 0.5474
0.3291 0.3677 0.8277
0.6709 0.6323 0.3277
0.3677 0.3291 0.1723
0.6323 0.6709 0.6723
0.2918 0.6710 0.4692
0.7082 0.3290 0.9692
0.6710 0.2918 0.5308
0.3290 0.7082 0.0308
0.2879 0.0326 0.5371
0.7121 0.9674 0.0371
0.0326 0.2879 0.4629
0.9674 0.7121 0.9629
0.1291 0.8709 0.2500
0.8709 0.1291 0.7500
```

Output
SG: C222_1 (20)
Crystal system: orthorhombic

On energetic grounds, arrangement 1 is preferred over the next structure by 25 meV per atom.

Arrangement 1

First-principles (GGA-PBE) data for a relaxed YP3O9 crystal, as listed in Alexandria.

Geometry as POSCAR:
```
YP3O9
1.0
-0.8264 3.6473 6.0384
7.2876 -5.1253 4.0932
7.4063 7.3748 -3.9521
O P Y
36 12 4
Direct
0.2231 0.9107 0.1646
0.7769 0.4107 0.8354
0.7769 0.0893 0.8354
0.2231 0.5893 0.1646
0.8266 0.0850 0.1201
0.1734 0.5850 0.8799
0.1734 0.9150 0.8799
0.8266 0.4150 0.1201
0.2701 0.9080 0.3949
0.7299 0.4080 0.6051
0.7299 0.0920 0.6051
0.2701 0.5920 0.3949
0.9524 0.9510 0.3029
0.0476 0.4510 0.6971
0.0476 0.0490 0.6971
0.9524 0.5490 0.3029
0.6554 0.0864 0.3190
0.3446 0.5864 0.6810
0.3446 0.9136 0.6810
0.6554 0.4136 0.3190
0.6390 0.7500 0.5411
0.3610 0.2500 0.4589
0.4872 0.2500 0.9808
0.5128 0.7500 0.0192
0.0009 0.7500 0.5744
0.9991 0.2500 0.4256
0.1243 0.2500 0.9441
0.8757 0.7500 0.0559
0.2084 0.1281 0.2781
0.7916 0.6281 0.7219
0.7916 0.8719 0.7219
0.2084 0.3719 0.2781
0.6558 0.8748 0.1965
0.3442 0.3748 0.8035
0.3442 0.1252 0.8035
0.6558 0.6252 0.1965
0.7695 0.0108 0.2307
0.2305 0.5108 0.7693
0.2305 0.9892 0.7693
0.7695 0.4892 0.2307
0.1754 0.9668 0.2842
0.8246 0.4668 0.7158
0.8246 0.0332 0.7158
0.1754 0.5332 0.2842
0.1912 0.2500 0.3744
0.8088 0.7500 0.6256
0.6815 0.7500 0.1041
0.3185 0.2500 0.8959
0.8088 0.2500 0.9794
0.1912 0.7500 0.0206
0.3196 0.7500 0.5384
0.6804 0.2500 0.4616
```

Output
SG: P2_1/m (11)
Crystal system: monoclinic

Arrangement 2

First-principles (GGA-PBE) data for a relaxed YP3O9 crystal, as listed in Alexandria.

Geometry as POSCAR:
```
YP3O9
1.0
6.8448 0.0510 -0.1139
2.4589 7.2600 -0.1855
2.3743 1.5821 7.8411
Y P O
2 6 18
Direct
0.1404 0.9679 0.2373
0.4756 0.3537 0.9281
0.9294 0.6731 0.0650
0.5544 0.0838 0.3569
0.1912 0.1780 0.5954
0.4931 0.8271 0.6842
0.6580 0.8700 0.9546
0.0078 0.3688 0.8989
0.1588 0.2153 0.9958
0.4287 0.1042 0.2268
0.7753 0.3984 0.9478
0.7726 0.1024 0.3002
0.4551 0.8298 0.0584
0.3992 0.2309 0.4795
0.0639 0.1372 0.4999
0.8636 0.5348 0.2107
0.0819 0.3409 0.7006
0.5638 0.8800 0.4851
0.1746 0.7470 0.4492
0.0689 0.5557 0.8962
0.4502 0.6435 0.7449
0.5704 0.2684 0.7006
0.2865 0.9975 0.7296
0.0640 0.7897 0.0759
0.6749 0.8437 0.7576
0.6975 0.0583 0.9311
```

Output
SG: P1 (1)
Crystal system: triclinic

Arrangement 3

First-principles (GGA-PBE) data for a relaxed YP3O9 crystal, as listed in Alexandria.

Geometry as POSCAR:
```
YP3O9
1.0
-2.9429 5.3826 -5.0984
-7.5995 1.9287 -1.4679
-4.2242 8.8241 2.9767
O P Y
18 6 2
Direct
0.5691 0.9483 0.5618
0.9483 0.5691 0.0618
0.4473 0.9429 0.3802
0.9429 0.4473 0.8802
0.1177 0.2390 0.2722
0.2390 0.1177 0.7722
0.5304 0.2580 0.5987
0.2580 0.5304 0.0987
0.2692 0.3576 0.4688
0.3576 0.2692 0.9688
0.5814 0.5897 0.6198
0.5897 0.5814 0.1198
0.8555 0.7345 0.3603
0.7345 0.8555 0.8603
0.0394 0.0634 0.5762
0.0634 0.0394 0.0762
0.1982 0.8324 0.3953
0.8324 0.1982 0.8953
0.3987 0.1910 0.5910
0.1910 0.3987 0.0910
0.6234 0.7853 0.4833
0.7853 0.6234 0.9833
0.1916 0.0076 0.4176
0.0076 0.1916 0.9176
0.6842 0.2121 0.7525
0.2121 0.6842 0.2525
```

Output
SG: Cc (9)
Crystal system: monoclinic

On energetic grounds, arrangement 1 is preferred over the next structure by 7 meV per atom.